(1)
Ga2TeP2 | PBE | relaxed

The structure in POSCAR format:
```
Ga2TeP2
1.0
4.594 0.000 0.000
0.000 4.594 0.000
2.297 2.297 4.680
P Te Ga
2 1 2
Direct
0.750 0.250 0.500
0.250 0.750 0.500
0.000 0.000 0.000
0.366 0.366 0.269
0.634 0.634 0.731
```

Computed properties:
As for the crystal system: tetragonal. Its electronic total energy is -3.71 eV/atom. The calculation puts the energy relative to the elements, uncorrected at 1.4 eV/f.u.

(2)
GaTe2P | PBE | relaxed

The structure in POSCAR format:
```
GaTe2P
1.0
2.170 0.000 9.530
-1.085 1.880 9.530
-1.085 -1.880 9.530
P Te Ga
1 2 1
Direct
0.500 0.500 0.500
0.892 0.892 0.892
0.108 0.108 0.108
0.000 0.000 0.000
```

Computed properties:
As for the crystal system: trigonal. The relative energy among the computed polymorphs comes out at 3.7 kJ/mol of atoms. Its electronic total energy is -3.40 eV/atom. The calculation puts the energy relative to the elements, uncorrected at 1.1 eV/f.u.

(3)
GaTe3P | PBE | relaxed

The structure in POSCAR format:
```
GaTe3P
1.0
-5.273 -0.621 -0.171
0.353 -3.964 3.520
-0.539 3.482 3.976
P Te Ga
1 3 1
Direct
0.000 0.000 0.000
0.000 0.500 0.000
0.000 0.000 0.500
0.500 0.000 0.000
0.500 0.500 0.500
```

Computed properties:
As for the crystal system: cubic. The relative energy among the computed polymorphs comes out at 0.0 kJ/mol of atoms. Its electronic total energy is -3.22 eV/atom. The calculation puts the energy relative to the elements, uncorrected at 1.8 eV/f.u.

(4)
GaTeP3 | PBE | relaxed

The structure in POSCAR format:
```
GaTeP3
1.0
-3.585 1.119 -2.854
2.597 -1.224 -3.742
-1.629 -4.415 0.314
P Te Ga
3 1 1
Direct
0.000 0.500 0.000
0.000 0.000 0.500
0.500 0.000 0.000
0.500 0.500 0.500
0.000 0.000 0.000
```

Computed properties:
As for the crystal system: cubic. The relative energy among the computed polymorphs comes out at 0.0 kJ/mol of atoms. Its electronic total energy is -3.62 eV/atom. The calculation puts the energy relative to the elements, uncorrected at 4.3 eV/f.u.

(5)
Ga2TeP | PBE | relaxed

The structure in POSCAR format:
```
Ga2TeP
1.0
6.282 0.000 0.000
0.000 6.282 0.000
3.141 3.141 5.359
P Te Ga
2 2 4
Direct
0.500 0.500 0.000
0.250 0.750 0.500
0.000 0.000 0.000
0.750 0.250 0.500
0.576 0.125 0.250
0.174 0.625 0.250
0.375 0.424 0.750
0.875 0.826 0.750
```

Computed properties:
As for the crystal system: tetragonal. The relative energy among the computed polymorphs comes out at 0.0 kJ/mol of atoms. Its electronic total energy is -3.80 eV/atom. The calculation puts the energy relative to the elements, uncorrected at -0.6 eV/f.u.

(6)
GaTe3P | PBE | relaxed

The structure in POSCAR format:
```
GaTe3P
1.0
5.295 0.000 0.000
0.000 5.295 0.000
0.000 0.000 5.295
P Te Ga
1 3 1
Direct
0.500 0.500 0.500
0.000 0.500 0.000
0.000 0.000 0.500
0.500 0.000 0.000
0.000 0.000 0.000
```

Computed properties:
As for the crystal system: cubic. The relative energy among the computed polymorphs comes out at 47.0 kJ/mol of atoms. Its electronic total energy is -2.73 eV/atom. The calculation puts the energy relative to the elements, uncorrected at 4.2 eV/f.u.

(7)
GaTe2P | PBE | relaxed

The structure in POSCAR format:
```
GaTe2P
1.0
-4.123 -1.977 3.367
-3.185 -1.129 -4.564
-0.567 -8.664 -0.994
P Te Ga
2 4 2
Direct
0.500 0.500 0.000
0.250 0.750 0.500
0.597 0.125 0.250
0.153 0.625 0.250
0.375 0.403 0.750
0.875 0.847 0.750
0.000 0.000 0.000
0.750 0.250 0.500
```

Computed properties:
As for the crystal system: tetragonal. The relative energy among the computed polymorphs comes out at 0.0 kJ/mol of atoms. Its electronic total energy is -3.44 eV/atom. The calculation puts the energy relative to the elements, uncorrected at 0.9 eV/f.u.

(8)
GaTe2P | PBE | relaxed

The structure in POSCAR format:
```
GaTe2P
1.0
2.493 -5.501 6.376
5.202 -6.171 3.462
5.671 -3.048 5.973
P Te Ga
1 2 1
Direct
0.000 0.000 0.000
0.899 0.899 0.899
0.101 0.101 0.101
0.500 0.500 0.500
```

Computed properties:
As for the crystal system: trigonal. The relative energy among the computed polymorphs comes out at 13.7 kJ/mol of atoms. Its electronic total energy is -3.30 eV/atom. The calculation puts the energy relative to the elements, uncorrected at 1.5 eV/f.u.

(9)
Th8GaTe4P3 | PBE | relaxed

The structure in POSCAR format:
```
Th8GaTe4P3
1.0
-2.597 5.141 6.224
-2.345 -7.068 4.860
7.972 0.483 -2.849
Th Ga Te P
8 1 4 3
Direct
0.241 0.710 0.969
0.241 0.710 0.482
0.265 0.294 0.529
0.728 0.710 0.969
0.272 0.290 0.031
0.735 0.706 0.471
0.759 0.290 0.518
0.759 0.290 0.031
0.000 0.500 0.000
0.500 0.000 0.000
0.500 0.000 0.500
0.000 0.000 0.000
0.000 0.000 0.500
0.500 0.500 0.000
0.500 0.500 0.500
0.000 0.500 0.500
```

Computed properties:
As for the crystal system: trigonal. Its electronic total energy is -6.92 eV/atom. The calculation puts the energy relative to the elements, uncorrected at -19.5 eV/f.u.

(10)
Th6GaTe3P2 | PBE | relaxed

The structure in POSCAR format:
```
Th6GaTe3P2
1.0
-2.173 -3.277 1.723
6.546 -1.309 5.764
-5.024 7.843 3.234
Th Ga Te P
6 1 3 2
Direct
0.339 0.886 0.677
0.675 0.560 0.351
0.661 0.114 0.323
0.013 0.237 0.026
0.987 0.763 0.974
0.325 0.440 0.649
0.500 0.000 0.000
0.500 0.500 0.000
0.836 0.166 0.672
0.164 0.834 0.328
0.831 0.663 0.662
0.169 0.337 0.338
```

Computed properties:
As for the crystal system: monoclinic. Its electronic total energy is -6.82 eV/atom. The calculation puts the energy relative to the elements, uncorrected at -14.0 eV/f.u.

(11)
Tm8GaTe4P3 | PBE | relaxed

The structure in POSCAR format:
```
Tm8GaTe4P3
1.0
-6.178 5.395 0.236
-4.155 -4.507 -5.763
2.512 -3.666 6.898
Tm Ga Te P
8 1 4 3
Direct
0.238 0.714 0.976
0.238 0.714 0.477
0.264 0.291 0.527
0.737 0.714 0.976
0.263 0.286 0.024
0.736 0.709 0.473
0.762 0.286 0.523
0.762 0.286 0.024
0.000 0.500 0.000
0.500 0.000 0.000
0.500 0.000 0.500
0.000 0.000 0.000
0.000 0.000 0.500
0.500 0.500 0.000
0.500 0.500 0.500
0.000 0.500 0.500
```

Computed properties:
As for the crystal system: trigonal. Its electronic total energy is -5.57 eV/atom. The calculation puts the energy relative to the elements, uncorrected at -21.6 eV/f.u.

(12)
Tm4GaTe2P | PBE | relaxed

The structure in POSCAR format:
```
Tm4GaTe2P
1.0
4.073 0.000 0.000
0.000 7.227 0.167
0.000 -2.487 6.959
Tm Ga Te P
4 1 2 1
Direct
0.500 0.236 0.212
0.500 0.764 0.788
0.000 0.257 0.778
0.000 0.743 0.222
0.500 0.500 0.000
0.500 0.000 0.500
0.000 0.500 0.500
0.000 0.000 0.000
```

Computed properties:
As for the crystal system: monoclinic. Its electronic total energy is -5.26 eV/atom. The calculation puts the energy relative to the elements, uncorrected at -9.5 eV/f.u.

(13)
Y8Ga3Te3P | PBE | relaxed

The structure in POSCAR format:
```
Y8Ga3Te3P
1.0
8.309 -0.010 -0.004
-4.163 7.199 -0.023
0.002 -4.769 7.251
Y Ga Te P
8 3 3 1
Direct
0.256 0.512 0.267
0.744 0.488 0.733
0.765 0.530 0.281
0.235 0.470 0.719
0.765 0.016 0.281
0.235 0.984 0.719
0.252 0.016 0.281
0.748 0.984 0.719
0.500 0.000 0.500
0.500 0.500 0.500
0.000 0.500 0.500
0.000 0.000 0.000
0.000 0.500 0.000
0.500 0.500 0.000
0.000 0.000 0.500
```

Computed properties:
As for the crystal system: triclinic. Its electronic total energy is -5.98 eV/atom. The calculation puts the energy relative to the elements, uncorrected at -14.1 eV/f.u.

(14)
ZnGa2TeP | PBE | relaxed

The structure in POSCAR format:
```
ZnGa2TeP
1.0
5.012 0.000 0.000
0.000 4.603 0.000
0.000 0.000 5.012
P Zn Te Ga
1 1 1 2
Direct
0.000 0.500 0.000
0.000 0.000 0.000
0.500 0.500 0.500
0.000 0.000 0.500
0.500 0.000 0.000
```

Computed properties:
As for the crystal system: tetragonal. Its electronic total energy is -2.82 eV/atom. The calculation puts the energy relative to the elements, uncorrected at 1.8 eV/f.u.

(15)
Th4GaP3 | PBE | relaxed

The structure in POSCAR format:
```
Th4GaP3
1.0
-4.297 3.553 1.982
-2.751 -4.661 2.392
2.998 0.816 5.037
P Ga Th
3 1 4
Direct
0.000 0.500 0.500
0.500 0.000 0.500
0.500 0.500 0.000
0.000 0.000 0.000
0.500 0.000 0.000
0.000 0.500 0.000
0.000 0.000 0.500
0.500 0.500 0.500
```

Computed properties:
For the formation energy from the elements, the calculation gives -120.3 kJ per mole of atoms. As for the crystal system: cubic. Its electronic total energy is -7.36 eV/atom.

(16)
TiGa2P | PBE | relaxed

The structure in POSCAR format:
```
TiGa2P
1.0
0.000 3.256 3.256
3.256 0.000 3.256
3.256 3.256 0.000
P Ga Ti
1 2 1
Direct
0.000 0.000 0.000
0.250 0.250 0.250
0.750 0.750 0.750
0.500 0.500 0.500
```

Computed properties:
For the formation energy from the elements, the calculation gives 25.9 kJ per mole of atoms. As for the crystal system: cubic. The relative energy among the computed polymorphs comes out at 35.6 kJ/mol of atoms. Its electronic total energy is -4.57 eV/atom.

(17)
Ti2Ga2P | PBE | relaxed

The structure in POSCAR format:
```
Ti2Ga2P
1.0
-2.050 3.992 -4.532
3.327 -3.248 -4.366
-3.235 -2.418 -0.666
P Ga Ti
2 4 4
Direct
0.000 0.000 0.000
0.500 0.500 0.000
0.146 0.646 0.500
0.646 0.854 0.500
0.854 0.354 0.500
0.354 0.146 0.500
0.335 0.835 0.000
0.835 0.665 0.000
0.665 0.165 0.000
0.165 0.335 0.000
```

Computed properties:
For the formation energy from the elements, the calculation gives -55.9 kJ per mole of atoms. As for the crystal system: tetragonal. Its electronic total energy is -6.03 eV/atom.

(18)
TiGa3P | PBE | relaxed

The structure in POSCAR format:
```
TiGa3P
1.0
4.972 0.000 0.000
0.000 4.972 0.000
0.000 0.000 4.972
P Ga Ti
1 3 1
Direct
0.500 0.500 0.500
0.000 0.500 0.000
0.000 0.000 0.500
0.500 0.000 0.000
0.000 0.000 0.000
```

Computed properties:
For the formation energy from the elements, the calculation gives 79.7 kJ per mole of atoms. As for the crystal system: cubic. The relative energy among the computed polymorphs comes out at 22.6 kJ/mol of atoms. Its electronic total energy is -3.65 eV/atom.

(19)
Ti2GaP | PBE | relaxed

The structure in POSCAR format:
```
Ti2GaP
1.0
-0.901 2.417 -2.209
-2.787 1.858 0.560
2.399 5.852 2.815
P Ga Ti
1 1 2
Direct
0.000 0.000 0.000
0.500 0.500 0.500
0.263 0.263 0.212
0.737 0.737 0.788
```

Computed properties:
For the formation energy from the elements, the calculation gives -70.3 kJ per mole of atoms. As for the crystal system: trigonal. The relative energy among the computed polymorphs comes out at 0.0 kJ/mol of atoms. Its electronic total energy is -6.79 eV/atom.

(20)
Ti2GaP | PBE | relaxed

The structure in POSCAR format:
```
Ti2GaP
1.0
-3.205 -3.285 3.365
3.995 -4.050 -0.149
2.893 -1.373 6.227
P Ga Ti
2 2 4
Direct
0.500 0.500 0.000
0.250 0.750 0.500
0.000 0.000 0.000
0.750 0.250 0.500
0.599 0.125 0.250
0.151 0.625 0.250
0.375 0.401 0.750
0.875 0.849 0.750
```

Computed properties:
For the formation energy from the elements, the calculation gives 20.5 kJ per mole of atoms. As for the crystal system: tetragonal. The relative energy among the computed polymorphs comes out at 90.8 kJ/mol of atoms. Its electronic total energy is -5.84 eV/atom.

(21)
Ti2GaP | PBE | relaxed

The structure in POSCAR format:
```
Ti2GaP
1.0
3.357 0.000 0.000
1.678 2.907 0.000
1.678 0.969 6.876
Ti Ga P
2 1 1
Direct
0.068 0.068 0.796
0.266 0.266 0.203
0.499 0.499 0.502
0.667 0.667 0.998
```

Computed properties:
For the formation energy from the elements, the calculation gives -69.4 kJ per mole of atoms. As for the crystal system: trigonal. The relative energy among the computed polymorphs comes out at 0.9 kJ/mol of atoms. Its electronic total energy is -6.78 eV/atom.

(22)
Ti2GaP | PBE | relaxed

The structure in POSCAR format:
```
Ti2GaP
1.0
3.923 -0.822 -1.854
1.477 -4.151 -0.294
0.208 -1.996 -3.933
P Ga Ti
1 1 2
Direct
0.000 0.000 0.000
0.500 0.500 0.500
0.250 0.250 0.250
0.750 0.750 0.750
```

Computed properties:
For the formation energy from the elements, the calculation gives -36.3 kJ per mole of atoms. As for the crystal system: cubic. The relative energy among the computed polymorphs comes out at 34.0 kJ/mol of atoms. Its electronic total energy is -6.43 eV/atom.

(23)
TiGa3P | PBE | relaxed

The structure in POSCAR format:
```
TiGa3P
1.0
-3.716 1.938 2.096
-2.800 -3.141 -2.061
0.553 -2.887 3.649
P Ga Ti
1 3 1
Direct
0.000 0.000 0.000
0.000 0.500 0.000
0.000 0.000 0.500
0.500 0.000 0.000
0.500 0.500 0.500
```

Computed properties:
For the formation energy from the elements, the calculation gives 57.2 kJ per mole of atoms. As for the crystal system: cubic. The relative energy among the computed polymorphs comes out at 0.0 kJ/mol of atoms. Its electronic total energy is -3.88 eV/atom.

(24)
Ti6Ga2P | PBE | relaxed

The structure in POSCAR format:
```
Ti6Ga2P
1.0
3.436 0.000 0.000
0.000 6.968 0.000
0.000 -3.484 6.034
Ti Ga P
6 2 1
Direct
0.500 0.611 0.000
0.500 0.389 0.389
0.500 0.000 0.611
0.000 0.253 0.000
0.000 0.747 0.747
0.000 0.000 0.253
0.000 0.333 0.667
0.000 0.667 0.333
0.500 0.000 0.000
```

Computed properties:
For the formation energy from the elements, the calculation gives -62.5 kJ per mole of atoms. As for the crystal system: hexagonal. Its electronic total energy is -7.19 eV/atom.

(25)
Ti6Ga3P | PBE | relaxed

The structure in POSCAR format:
```
Ti6Ga3P
1.0
-0.915 -2.513 5.611
-2.528 -4.903 -1.451
3.011 -4.818 -0.510
Ti Ga P
6 3 1
Direct
0.339 0.111 0.621
0.661 0.379 0.889
0.661 0.889 0.379
0.339 0.621 0.111
0.127 0.657 0.657
0.873 0.343 0.343
0.275 0.148 0.148
0.725 0.852 0.852
0.000 0.000 0.000
0.500 0.500 0.500
```

Computed properties:
For the formation energy from the elements, the calculation gives -31.1 kJ per mole of atoms. As for the crystal system: monoclinic. Its electronic total energy is -6.51 eV/atom.

| no. | total magnetization (μB per atom) |
| --- | --- |
| 1 | 0.00 |
| 2 | 0.00 |
| 3 | 0.00 |
| 4 | 0.00 |
| 5 | 0.00 |
| 6 | 0.00 |
| 7 | 0.00 |
| 8 | 0.00 |
| 9 | 0.00 |
| 10 | 0.00 |
| 11 | 0.00 |
| 12 | 0.00 |
| 13 | 0.06 |
| 14 | 0.00 |
| 15 | 0.00 |
| 16 | 0.30 |
| 17 | 0.00 |
| 18 | 0.00 |
| 19 | 0.00 |
| 20 | 0.00 |
| 21 | 0.00 |
| 22 | 0.00 |
| 23 | 0.00 |
| 24 | 0.00 |
| 25 | 0.00 |